{"formula": "U2P7Ru12", "functional": "PBE-GGA", "state": "optimized geometry", "final_energy_ev_per_atom": -8.853, "vol_a3_per_atom": 14.4, "dos_at_fermi_per_ev_cell": 14.5, "formation_enthalpy_0k_ev_per_atom": -0.67, "cell": [[9.552, 0.000, 0.000], [-4.776, 8.272, 0.000], [0.000, 0.000, 3.824]], "species": ["U", "U", "P", "P", "P", "P", "P", "P", "P", "Ru", "Ru", "Ru", "Ru", "Ru", "Ru", "Ru", "Ru", "Ru", "Ru", "Ru", "Ru"], "frac_coords": [[0.000, 0.000, 0.000], [0.333, 0.667, 0.500], [0.070, 0.444, 0.000], [0.266, 0.223, 0.500], [0.374, 0.930, 0.000], [0.556, 0.626, 0.000], [0.667, 0.333, 0.000], [0.777, 0.043, 0.500], [0.957, 0.734, 0.500], [0.048, 0.266, 0.500], [0.114, 0.707, 0.000], [0.218, 0.952, 0.500], [0.293, 0.407, 0.000], [0.397, 0.184, 0.000], [0.530, 0.445, 0.500], [0.555, 0.085, 0.500], [0.593, 0.886, 0.000], [0.734, 0.782, 0.500], [0.788, 0.603, 0.000], [0.816, 0.212, 0.000], [0.915, 0.470, 0.500]]}

{"formula": "U3P3Ru2", "functional": "PBE-GGA", "state": "optimized geometry", "final_energy_ev_per_atom": -9.299, "vol_a3_per_atom": 17.7, "dos_at_fermi_per_ev_cell": 24.8, "formation_enthalpy_0k_ev_per_atom": -0.72, "cell": [[2.032, -5.105, 0.000], [2.032, 5.105, 0.000], [0.000, 0.000, 13.649]], "species": ["U", "U", "U", "U", "U", "U", "P", "P", "P", "P", "P", "P", "Ru", "Ru", "Ru", "Ru"], "frac_coords": [[0.070, 0.930, 0.606], [0.070, 0.930, 0.894], [0.345, 0.655, 0.750], [0.655, 0.345, 0.250], [0.930, 0.070, 0.106], [0.930, 0.070, 0.394], [0.371, 0.629, 0.250], [0.378, 0.622, 0.543], [0.378, 0.622, 0.957], [0.622, 0.378, 0.043], [0.622, 0.378, 0.457], [0.629, 0.371, 0.750], [0.219, 0.781, 0.108], [0.219, 0.781, 0.392], [0.781, 0.219, 0.608], [0.781, 0.219, 0.892]]}

{"formula": "U4P6Ru7", "functional": "PBE-GGA", "state": "optimized geometry", "final_energy_ev_per_atom": -9.134, "vol_a3_per_atom": 15.9, "dos_at_fermi_per_ev_cell": 22.3, "formation_enthalpy_0k_ev_per_atom": -0.75, "cell": [[-4.069, 4.069, 4.069], [4.069, -4.069, 4.069], [4.069, 4.069, -4.069]], "species": ["U", "U", "U", "U", "P", "P", "P", "P", "P", "P", "Ru", "Ru", "Ru", "Ru", "Ru", "Ru", "Ru"], "frac_coords": [[0.000, 0.000, 0.500], [0.000, 0.500, 0.000], [0.500, 0.000, 0.000], [0.500, 0.500, 0.500], [0.000, 0.311, 0.311], [0.000, 0.689, 0.689], [0.311, 0.000, 0.311], [0.311, 0.311, 0.000], [0.689, 0.000, 0.689], [0.689, 0.689, 0.000], [0.000, 0.000, 0.000], [0.250, 0.500, 0.750], [0.250, 0.750, 0.500], [0.500, 0.250, 0.750], [0.500, 0.750, 0.250], [0.750, 0.250, 0.500], [0.750, 0.500, 0.250]]}

{"formula": "UP2Ru5", "functional": "PBE-GGA", "state": "optimized geometry", "final_energy_ev_per_atom": -8.944, "vol_a3_per_atom": 15.3, "dos_at_fermi_per_ev_cell": 6.1, "formation_enthalpy_0k_ev_per_atom": -0.38, "cell": [[-1.857, 2.872, 5.729], [1.857, -2.872, 5.729], [1.857, 2.872, -5.729]], "species": ["U", "P", "P", "Ru", "Ru", "Ru", "Ru", "Ru"], "frac_coords": [[0.000, 0.000, 0.000], [0.299, 0.799, 0.500], [0.701, 0.201, 0.500], [0.107, 0.355, 0.752], [0.396, 0.645, 0.752], [0.500, 0.000, 0.500], [0.604, 0.355, 0.248], [0.893, 0.645, 0.248]]}

{"formula": "UP2Ru", "functional": "PBE-GGA", "state": "optimized geometry", "final_energy_ev_per_atom": -8.620, "e_above_lowest_polymorph_kcal_per_mol_atoms": 0.516, "vol_a3_per_atom": 16.8, "dos_at_fermi_per_ev_cell": 6.1, "formation_enthalpy_0k_ev_per_atom": -0.77, "cell": [[-1.983, 1.983, 8.567], [1.983, -1.983, 8.567], [1.983, 1.983, -8.567]], "species": ["U", "U", "P", "P", "P", "P", "Ru", "Ru"], "frac_coords": [[0.110, 0.110, 0.000], [0.890, 0.890, 0.000], [0.000, 0.500, 0.500], [0.327, 0.327, 0.000], [0.500, 0.000, 0.500], [0.673, 0.673, 0.000], [0.250, 0.750, 0.500], [0.750, 0.250, 0.500]]}

{"formula": "U3P4Ru7", "functional": "PBE-GGA", "state": "optimized geometry", "final_energy_ev_per_atom": -9.316, "vol_a3_per_atom": 15.6, "dos_at_fermi_per_ev_cell": 12.4, "formation_enthalpy_0k_ev_per_atom": -0.71, "cell": [[7.509, -1.961, 0.000], [7.509, 1.961, 0.000], [-5.274, 0.000, 7.432]], "species": ["U", "U", "U", "P", "P", "P", "P", "Ru", "Ru", "Ru", "Ru", "Ru", "Ru", "Ru"], "frac_coords": [[0.000, 0.000, 0.000], [0.325, 0.325, 0.327], [0.675, 0.675, 0.673], [0.111, 0.111, 0.837], [0.339, 0.339, 0.727], [0.661, 0.661, 0.273], [0.889, 0.889, 0.163], [0.000, 0.000, 0.500], [0.165, 0.165, 0.431], [0.298, 0.298, 0.946], [0.496, 0.496, 0.720], [0.504, 0.504, 0.280], [0.702, 0.702, 0.054], [0.835, 0.835, 0.569]]}

{"formula": "U2P3Ru2", "functional": "PBE-GGA", "state": "optimized geometry", "final_energy_ev_per_atom": -8.909, "vol_a3_per_atom": 17.8, "dos_at_fermi_per_ev_cell": 24.7, "formation_enthalpy_0k_ev_per_atom": -0.72, "cell": [[7.338, -1.953, 0.000], [7.338, 1.953, 0.000], [-6.525, 0.000, 8.712]], "species": ["U", "U", "U", "U", "P", "P", "P", "P", "P", "P", "Ru", "Ru", "Ru", "Ru"], "frac_coords": [[0.103, 0.103, 0.453], [0.233, 0.233, 0.843], [0.767, 0.767, 0.157], [0.897, 0.897, 0.547], [0.107, 0.107, 0.959], [0.335, 0.335, 0.688], [0.417, 0.417, 0.363], [0.583, 0.583, 0.637], [0.665, 0.665, 0.312], [0.893, 0.893, 0.041], [0.093, 0.093, 0.163], [0.463, 0.463, 0.191], [0.537, 0.537, 0.809], [0.907, 0.907, 0.837]]}

{"formula": "UP4Ru4", "functional": "PBE-GGA", "state": "optimized geometry", "final_energy_ev_per_atom": -8.244, "vol_a3_per_atom": 15.2, "dos_at_fermi_per_ev_cell": 19.3, "formation_enthalpy_0k_ev_per_atom": -0.46, "cell": [[6.005, 0.000, 0.000], [0.000, 6.005, 0.000], [0.000, 0.000, 7.608]], "species": ["U", "U", "P", "P", "P", "P", "P", "P", "P", "P", "Ru", "Ru", "Ru", "Ru", "Ru", "Ru", "Ru", "Ru"], "frac_coords": [[0.250, 0.750, 0.250], [0.750, 0.250, 0.750], [0.032, 0.250, 0.060], [0.250, 0.032, 0.560], [0.250, 0.468, 0.560], [0.468, 0.250, 0.060], [0.532, 0.750, 0.940], [0.750, 0.532, 0.440], [0.750, 0.968, 0.440], [0.968, 0.750, 0.940], [0.025, 0.250, 0.366], [0.250, 0.025, 0.866], [0.250, 0.475, 0.866], [0.475, 0.250, 0.366], [0.525, 0.750, 0.634], [0.750, 0.525, 0.134], [0.750, 0.975, 0.134], [0.975, 0.750, 0.634]]}

{"formula": "UPRu", "functional": "PBE-GGA", "state": "optimized geometry", "final_energy_ev_per_atom": -9.006, "vol_a3_per_atom": 15.8, "dos_at_fermi_per_ev_cell": 6.2, "formation_enthalpy_0k_ev_per_atom": -0.35, "cell": [[3.640, 0.000, 0.000], [0.000, 3.640, 0.000], [0.000, 0.000, 7.148]], "species": ["U", "U", "P", "P", "Ru", "Ru"], "frac_coords": [[0.250, 0.750, 0.000], [0.750, 0.250, 0.000], [0.250, 0.250, 0.311], [0.750, 0.750, 0.689], [0.250, 0.250, 0.630], [0.750, 0.750, 0.370]]}

{"formula": "U2PRu3", "functional": "PBE-GGA", "state": "optimized geometry", "final_energy_ev_per_atom": -9.872, "vol_a3_per_atom": 16.4, "dos_at_fermi_per_ev_cell": 8.2, "formation_enthalpy_0k_ev_per_atom": -0.57, "cell": [[2.772, 1.600, 3.706], [-2.772, 1.600, 3.706], [0.000, -3.201, 3.706]], "species": ["U", "U", "P", "Ru", "Ru", "Ru"], "frac_coords": [[0.120, 0.120, 0.120], [0.880, 0.880, 0.880], [0.500, 0.500, 0.500], [0.000, 0.500, 0.500], [0.500, 0.000, 0.500], [0.500, 0.500, 0.000]]}

{"formula": "U2P3Ru5", "functional": "PBE-GGA", "state": "optimized geometry", "final_energy_ev_per_atom": -9.131, "vol_a3_per_atom": 15.4, "dos_at_fermi_per_ev_cell": 16.7, "formation_enthalpy_0k_ev_per_atom": -0.61, "cell": [[1.995, -11.877, 0.000], [1.995, 11.877, 0.000], [0.000, 0.000, 6.514]], "species": ["U", "U", "U", "U", "P", "P", "P", "P", "P", "P", "Ru", "Ru", "Ru", "Ru", "Ru", "Ru", "Ru", "Ru", "Ru", "Ru"], "frac_coords": [[0.016, 0.984, 0.500], [0.328, 0.672, 0.517], [0.672, 0.328, 0.017], [0.984, 0.016, 0.000], [0.110, 0.890, 0.285], [0.267, 0.733, 0.022], [0.450, 0.550, 0.271], [0.550, 0.450, 0.771], [0.733, 0.267, 0.522], [0.890, 0.110, 0.785], [0.102, 0.898, 0.848], [0.207, 0.793, 0.732], [0.209, 0.791, 0.316], [0.366, 0.634, 0.028], [0.440, 0.560, 0.650], [0.560, 0.440, 0.150], [0.634, 0.366, 0.528], [0.791, 0.209, 0.816], [0.793, 0.207, 0.232], [0.898, 0.102, 0.348]]}

{"formula": "ZrUP2Ru5", "functional": "PBE-GGA", "state": "optimized geometry", "final_energy_ev_per_atom": -9.157, "vol_a3_per_atom": 15.6, "dos_at_fermi_per_ev_cell": 10.1, "formation_enthalpy_0k_ev_per_atom": -0.60, "cell": [[4.072, 0.000, 0.000], [0.000, 4.072, 0.000], [0.000, 0.000, 8.486]], "species": ["Zr", "U", "P", "P", "Ru", "Ru", "Ru", "Ru", "Ru"], "frac_coords": [[0.000, 0.000, 0.000], [0.000, 0.000, 0.500], [0.500, 0.500, 0.364], [0.500, 0.500, 0.636], [0.000, 0.500, 0.238], [0.000, 0.500, 0.762], [0.500, 0.000, 0.238], [0.500, 0.000, 0.762], [0.500, 0.500, 0.000]]}